Below is a relaxed structure of HfMgTl2, with properties calculated at the GGA-PBE level.

Output
Total energy, eV/atom: -3.795
Formation enthalpy at 0 K, eV/atom: 0.275

The structure in CIF format:
```
data_HfMgTl2
_cell_length_a 3.3123
_cell_length_b 3.3123
_cell_length_c 11.0653
_cell_angle_alpha 81.39
_cell_angle_beta 81.39
_cell_angle_gamma 60.00
_symmetry_space_group_name_H-M 'P 1'
_symmetry_Int_Tables_number 1
loop_
_symmetry_equiv_pos_as_xyz
'x,y,z'
loop_
_atom_site_label
_atom_site_fract_x
_atom_site_fract_y
_atom_site_fract_z
Tl1 0.0894 0.0894 0.7319
Tl2 0.9106 0.9106 0.2681
Hf1 0.0000 0.0000 0.0000
Mg1 0.5000 0.5000 0.5000
```